Record 1
Computed, not measured: a relaxed Ac3Ga8Au3 crystal at the PBE-GGA level of DFT.

Cell: 8.6736 8.6736 9.9505 Å, 124.49 124.49 31.21°
Atoms (fractional coordinates):
Ac: 0.0000 0.0000 0.0000
Ac: 0.3067 0.3067 0.3112
Ac: 0.6933 0.6933 0.6888
Ga: 0.1455 0.1455 0.4235
Ga: 0.1485 0.1485 0.8739
Ga: 0.3394 0.3394 0.9705
Ga: 0.4975 0.4975 0.2959
Ga: 0.5025 0.5025 0.7041
Ga: 0.6606 0.6606 0.0295
Ga: 0.8515 0.8515 0.1261
Ga: 0.8545 0.8545 0.5765
Au: 0.0000 0.0000 0.5000
Au: 0.3452 0.3452 0.7070
Au: 0.6548 0.6548 0.2930

Calculated values
total magnetic moment = 0.000 μB per formula unit
offset from the most stable computed form = 0 meV per atom
space-group type = C2/m, No. 12

Record 2
Computed, not measured: a relaxed AcGa12Au6 crystal at the PBE-GGA level of DFT.

Cell: 7.5610 7.5610 7.5610 Å, 104.70 104.70 104.70°
Atoms (fractional coordinates):
Ac: 0.0000 0.0000 0.0000
Ga: 0.1078 0.5000 0.8922
Ga: 0.1078 0.8922 0.5000
Ga: 0.1568 0.4029 0.4029
Ga: 0.4029 0.1568 0.4029
Ga: 0.4029 0.4029 0.1568
Ga: 0.5000 0.1078 0.8922
Ga: 0.5000 0.8922 0.1078
Ga: 0.5971 0.5971 0.8432
Ga: 0.5971 0.8432 0.5971
Ga: 0.8432 0.5971 0.5971
Ga: 0.8922 0.1078 0.5000
Ga: 0.8922 0.5000 0.1078
Au: 0.2671 0.7216 0.7216
Au: 0.2784 0.2784 0.7329
Au: 0.2784 0.7329 0.2784
Au: 0.7216 0.2671 0.7216
Au: 0.7216 0.7216 0.2671
Au: 0.7329 0.2784 0.2784

Calculated values
total magnetic moment = 0.000 μB per formula unit
space-group type = R-3m, No. 166

Record 3
Computed, not measured: a relaxed AcGaAu11 crystal at the PBE-GGA level of DFT.

Cell: 7.2347 7.2347 7.2736 Å, 96.32 96.32 134.74°
Atoms (fractional coordinates):
Ac: 0.0000 0.0000 0.0000
Ga: 0.5000 0.5000 0.5000
Au: 0.0000 0.0000 0.5000
Au: 0.0000 0.5000 0.0000
Au: 0.0432 0.6853 0.6516
Au: 0.3147 0.9568 0.3484
Au: 0.3190 0.5322 0.7772
Au: 0.4678 0.6810 0.2228
Au: 0.5000 0.0000 0.0000
Au: 0.5322 0.3190 0.7772
Au: 0.6810 0.4678 0.2228
Au: 0.6853 0.0432 0.6516
Au: 0.9568 0.3147 0.3484

Calculated values
total magnetic moment = 0.000 μB per formula unit
space-group type = C2/m, No. 12

no.,electronic total energy (eV/atom),energy relative to the elements (kJ/mol of formula units)
1,-3.86,-746
2,-3.38,-404
3,-3.60,-345